1.
NaScOF2 | GGA-PBEsol | optimized geometry

Properties
**Space-group type**: P4/mmm (123)
**E**: -5.45 eV per atom
**Mass density**: 3.5 Mg/m³

a = 3.7319 Å, b = 3.7319 Å, c = 4.1960 Å
α = 90.00°, β = 90.00°, γ = 90.00°
Last column: nearest neighbours and their distance in Å.
Fractional coordinates of all 5 atoms:
Sc  0.5000  0.5000  0.5000  4 O 2.64, 8 F 2.81
Na  0.0000  0.0000  0.0000  4 F 1.87
O  0.0000  0.0000  0.5000  2 Na 2.10
F  0.0000  0.5000  0.0000  2 Na 1.87
F  0.5000  0.0000  0.0000  2 Na 1.87



2.
MgCo2Tc | GGA-PBEsol | optimized geometry

Properties
**Space-group type**: R3m (160)
**Energy of formation from the pure elements**: 6.83 kcal/mol of atoms
**Mass density**: 7.7 Mg/m³

a = 2.6574 Å, b = 2.6574 Å, c = 8.6195 Å
α = 81.13°, β = 81.13°, γ = 60.00°
Last column: nearest neighbours and their distance in Å.
Fractional coordinates of all 4 atoms:
Co  0.9968  0.9968  0.0097  9 Co 2.42-2.66, 3 Tc 2.53
Co  0.2566  0.2566  0.2302  9 Co 2.42-2.66, 3 Mg 2.67
Mg  0.5042  0.5042  0.4874  6 Mg 2.66, 3 Co 2.67, 3 Tc 2.86
Tc  0.7425  0.7425  0.7726  3 Co 2.53, 6 Tc 2.66



Copy entry 2 word for word.
MgCo2Tc | GGA-PBEsol | optimized geometry

Properties
**Space-group type**: R3m (160)
**Energy of formation from the pure elements**: 6.83 kcal/mol of atoms
**Mass density**: 7.7 Mg/m³

a = 2.6574 Å, b = 2.6574 Å, c = 8.6195 Å
α = 81.13°, β = 81.13°, γ = 60.00°
Last column: nearest neighbours and their distance in Å.
Fractional coordinates of all 4 atoms:
Co  0.9968  0.9968  0.0097  9 Co 2.42-2.66, 3 Tc 2.53
Co  0.2566  0.2566  0.2302  9 Co 2.42-2.66, 3 Mg 2.67
Mg  0.5042  0.5042  0.4874  6 Mg 2.66, 3 Co 2.67, 3 Tc 2.86
Tc  0.7425  0.7425  0.7726  3 Co 2.53, 6 Tc 2.66



Q: Which of these has the lowest mass density?
A: NaScOF2



Q: Which formula does entry 2 have?
A: MgCo2Tc